# 1
Material: SrGaAgAu2
Method: DFT, PBE
State: relaxed

Calculated values
Energy: -3.28 eV per atom
Total moment: 0.0000 μB per atom
ρ: 9.49 Mg/m³

```
data_SrGaAgAu2
_chemical_formula_sum 'Sr1 Ga1 Ag1 Au2'
_cell_length_a 4.288
_cell_length_b 4.288
_cell_length_c 6.969
_cell_angle_alpha 107.92
_cell_angle_beta 107.92
_cell_angle_gamma 90.00
_space_group_name_H-M_alt 'P 1'
_space_group_IT_number 1
_space_group_name_Hall 'P 1'
loop_
_atom_site_label
_atom_site_type_symbol
_atom_site_fract_x
_atom_site_fract_y
_atom_site_fract_z
Ag1 Ag 0.250 0.750 0.500
Sr1 Sr 0.000 0.000 0.000
Au1 Au 0.610 0.610 0.220
Au2 Au 0.390 0.390 0.780
Ga1 Ga 0.750 0.250 0.500
```



# 2
Material: Sr2Ga3AgAu12
Method: DFT, PBE
State: relaxed

Calculated values
Energy: -3.12 eV per atom
Total moment: 0.0000 μB per atom
ρ: 10.76 Mg/m³

```
data_Sr2Ga3AgAu12
_chemical_formula_sum 'Sr2 Ga3 Ag1 Au12'
_cell_length_a 8.324
_cell_length_b 8.324
_cell_length_c 8.324
_cell_angle_alpha 63.66
_cell_angle_beta 63.66
_cell_angle_gamma 63.66
_space_group_name_H-M_alt 'P 1'
_space_group_IT_number 1
_space_group_name_Hall 'P 1'
loop_
_atom_site_label
_atom_site_type_symbol
_atom_site_fract_x
_atom_site_fract_y
_atom_site_fract_z
Au1 Au 0.621 0.132 0.132
Au2 Au 0.132 0.621 0.132
Au3 Au 0.884 0.355 0.355
Au4 Au 0.868 0.379 0.868
Au5 Au 0.355 0.355 0.884
Au6 Au 0.132 0.132 0.621
Au7 Au 0.116 0.645 0.645
Au8 Au 0.645 0.116 0.645
Au9 Au 0.379 0.868 0.868
Au10 Au 0.645 0.645 0.116
Au11 Au 0.868 0.868 0.379
Au12 Au 0.355 0.884 0.355
Ag1 Ag 0.000 0.000 0.000
Sr1 Sr 0.612 0.612 0.612
Sr2 Sr 0.388 0.388 0.388
Ga1 Ga 0.500 0.000 0.000
Ga2 Ga 0.000 0.500 0.000
Ga3 Ga 0.000 0.000 0.500
```



# 3
Material: SrGaAgAu3
Method: DFT, PBE
State: relaxed

Calculated values
Energy: -3.21 eV per atom
Total moment: 0.0000 μB per atom
ρ: 10.02 Mg/m³

```
data_SrGaAgAu3
_chemical_formula_sum 'Sr2 Ga2 Ag2 Au6'
_cell_length_a 6.291
_cell_length_b 7.257
_cell_length_c 7.194
_cell_angle_alpha 120.29
_cell_angle_beta 90.00
_cell_angle_gamma 90.00
_space_group_name_H-M_alt 'P 1'
_space_group_IT_number 1
_space_group_name_Hall 'P 1'
loop_
_atom_site_label
_atom_site_type_symbol
_atom_site_fract_x
_atom_site_fract_y
_atom_site_fract_z
Sr1 Sr 0.250 0.705 0.410
Sr2 Sr 0.750 0.295 0.590
Ga1 Ga 0.250 0.380 0.760
Ga2 Ga 0.750 0.620 0.240
Au1 Au 0.250 0.177 0.355
Au2 Au 0.000 0.297 0.000
Au3 Au 0.500 0.297 0.000
Au4 Au 0.000 0.703 0.000
Au5 Au 0.750 0.823 0.645
Au6 Au 0.500 0.703 0.000
Ag1 Ag 0.750 0.048 0.096
Ag2 Ag 0.250 0.952 0.904
```



# 4
Material: Sr2GaAgAu6
Method: DFT, PBE
State: relaxed

Calculated values
Energy: -3.33 eV per atom
Total moment: 0.0000 μB per atom
ρ: 10.45 Mg/m³

```
data_Sr2GaAgAu6
_chemical_formula_sum 'Sr2 Ga1 Ag1 Au6'
_cell_length_a 7.441
_cell_length_b 6.963
_cell_length_c 6.970
_cell_angle_alpha 46.72
_cell_angle_beta 79.65
_cell_angle_gamma 96.64
_space_group_name_H-M_alt 'P 1'
_space_group_IT_number 1
_space_group_name_Hall 'P 1'
loop_
_atom_site_label
_atom_site_type_symbol
_atom_site_fract_x
_atom_site_fract_y
_atom_site_fract_z
Au1 Au 0.897 0.749 0.853
Au2 Au 0.242 0.753 0.013
Au3 Au 0.758 0.746 0.489
Au4 Au 0.103 0.251 0.147
Au5 Au 0.758 0.247 0.987
Au6 Au 0.242 0.254 0.511
Sr1 Sr 0.692 0.234 0.542
Sr2 Sr 0.308 0.766 0.458
Ga1 Ga 0.000 0.000 0.000
Ag1 Ag 0.500 0.500 0.000
```



# 5
Material: TaGa2AgAu
Method: DFT, PBE
State: relaxed

Calculated values
Energy: -3.87 eV per atom
Total moment: 0.0238 μB per atom
ρ: 8.81 Mg/m³

```
data_TaGa2AgAu
_chemical_formula_sum 'Ta1 Ga2 Ag1 Au1'
_cell_length_a 4.737
_cell_length_b 5.253
_cell_length_c 4.737
_cell_angle_alpha 90.00
_cell_angle_beta 90.00
_cell_angle_gamma 90.00
_space_group_name_H-M_alt 'P 1'
_space_group_IT_number 1
_space_group_name_Hall 'P 1'
loop_
_atom_site_label
_atom_site_type_symbol
_atom_site_fract_x
_atom_site_fract_y
_atom_site_fract_z
Ga1 Ga 0.500 0.000 0.000
Ga2 Ga 0.000 0.000 0.500
Ag1 Ag 0.500 0.500 0.500
Ta1 Ta 0.000 0.500 0.000
Au1 Au 0.000 0.000 0.000
```



# 6
Material: TbGa2AgAu2
Method: DFT, PBE
State: relaxed

Calculated values
Energy: -3.85 eV per atom
Total moment: 0.0000 μB per atom
ρ: 11.35 Mg/m³

```
data_TbGa2AgAu2
_chemical_formula_sum 'Tb1 Ga2 Ag1 Au2'
_cell_length_a 4.530
_cell_length_b 4.530
_cell_length_c 6.585
_cell_angle_alpha 90.00
_cell_angle_beta 90.00
_cell_angle_gamma 120.00
_space_group_name_H-M_alt 'P 1'
_space_group_IT_number 1
_space_group_name_Hall 'P 1'
loop_
_atom_site_label
_atom_site_type_symbol
_atom_site_fract_x
_atom_site_fract_y
_atom_site_fract_z
Tb1 Tb 0.000 0.000 0.000
Ag1 Ag 0.000 0.000 0.500
Au1 Au 0.667 0.333 0.266
Au2 Au 0.333 0.667 0.734
Ga1 Ga 0.333 0.667 0.280
Ga2 Ga 0.667 0.333 0.720
```



# 7
Material: Tb2Ga3AgAu4
Method: DFT, PBE
State: relaxed

Calculated values
Energy: -3.96 eV per atom
Total moment: 0.0000 μB per atom
ρ: 11.47 Mg/m³

```
data_Tb2Ga3AgAu4
_chemical_formula_sum 'Tb2 Ga3 Ag1 Au4'
_cell_length_a 4.244
_cell_length_b 4.244
_cell_length_c 11.436
_cell_angle_alpha 90.00
_cell_angle_beta 90.00
_cell_angle_gamma 90.00
_space_group_name_H-M_alt 'P 1'
_space_group_IT_number 1
_space_group_name_Hall 'P 1'
loop_
_atom_site_label
_atom_site_type_symbol
_atom_site_fract_x
_atom_site_fract_y
_atom_site_fract_z
Au1 Au 0.500 0.000 0.653
Au2 Au 0.000 0.500 0.347
Au3 Au 0.000 0.000 0.000
Au4 Au 0.500 0.500 0.000
Ga1 Ga 0.000 0.000 0.500
Ga2 Ga 0.000 0.500 0.131
Ga3 Ga 0.500 0.000 0.869
Tb1 Tb 0.000 0.500 0.759
Tb2 Tb 0.500 0.000 0.241
Ag1 Ag 0.500 0.500 0.500
```



# 8
Material: Tb4GaAg2Au
Method: DFT, PBE
State: relaxed

Calculated values
Energy: -4.34 eV per atom
Total moment: 0.0000 μB per atom
ρ: 9.72 Mg/m³

```
data_Tb4GaAg2Au
_chemical_formula_sum 'Tb4 Ga1 Ag2 Au1'
_cell_length_a 5.124
_cell_length_b 5.124
_cell_length_c 8.908
_cell_angle_alpha 73.28
_cell_angle_beta 73.28
_cell_angle_gamma 60.00
_space_group_name_H-M_alt 'P 1'
_space_group_IT_number 1
_space_group_name_Hall 'P 1'
loop_
_atom_site_label
_atom_site_type_symbol
_atom_site_fract_x
_atom_site_fract_y
_atom_site_fract_z
Au1 Au 0.500 0.500 0.500
Tb1 Tb 0.126 0.126 0.622
Tb2 Tb 0.624 0.624 0.128
Tb3 Tb 0.376 0.376 0.872
Tb4 Tb 0.874 0.874 0.378
Ag1 Ag 0.746 0.746 0.761
Ag2 Ag 0.254 0.254 0.239
Ga1 Ga 0.000 0.000 0.000
```



# 9
Material: GaAgTe4Au2
Method: DFT, PBE
State: relaxed

Calculated values
Energy: -3.26 eV per atom
Total moment: 0.0000 μB per atom
ρ: 7.21 Mg/m³

```
data_GaAgTe4Au2
_chemical_formula_sum 'Ga1 Ag1 Te4 Au2'
_cell_length_a 6.277
_cell_length_b 6.277
_cell_length_c 7.729
_cell_angle_alpha 113.96
_cell_angle_beta 113.96
_cell_angle_gamma 89.99
_space_group_name_H-M_alt 'P 1'
_space_group_IT_number 1
_space_group_name_Hall 'P 1'
loop_
_atom_site_label
_atom_site_type_symbol
_atom_site_fract_x
_atom_site_fract_y
_atom_site_fract_z
Au1 Au 0.750 0.250 0.500
Au2 Au 0.250 0.750 0.500
Te1 Te 0.869 0.381 0.249
Te2 Te 0.132 0.132 0.751
Te3 Te 0.619 0.619 0.751
Te4 Te 0.381 0.869 0.249
Ag1 Ag 0.000 0.000 0.000
Ga1 Ga 0.500 0.500 0.000
```



# 10
Material: ThGaAgAu
Method: DFT, PBE
State: relaxed

Calculated values
Energy: -4.54 eV per atom
Total moment: 0.0000 μB per atom
ρ: 11.56 Mg/m³

```
data_ThGaAgAu
_chemical_formula_sum 'Th1 Ga1 Ag1 Au1'
_cell_length_a 4.976
_cell_length_b 4.976
_cell_length_c 4.976
_cell_angle_alpha 60.00
_cell_angle_beta 60.00
_cell_angle_gamma 60.00
_space_group_name_H-M_alt 'P 1'
_space_group_IT_number 1
_space_group_name_Hall 'P 1'
loop_
_atom_site_label
_atom_site_type_symbol
_atom_site_fract_x
_atom_site_fract_y
_atom_site_fract_z
Ag1 Ag 0.750 0.750 0.750
Th1 Th 0.250 0.250 0.250
Ga1 Ga 0.500 0.500 0.500
Au1 Au 0.000 0.000 0.000
```



# 11
Material: Tl2Ga2AgAu7
Method: DFT, PBE
State: relaxed

Calculated values
Energy: -3.11 eV per atom
Total moment: 0.0000 μB per atom
ρ: 12.90 Mg/m³

```
data_Tl2Ga2AgAu7
_chemical_formula_sum 'Tl2 Ga2 Ag1 Au7'
_cell_length_a 4.225
_cell_length_b 4.225
_cell_length_c 14.771
_cell_angle_alpha 85.38
_cell_angle_beta 85.38
_cell_angle_gamma 89.52
_space_group_name_H-M_alt 'P 1'
_space_group_IT_number 1
_space_group_name_Hall 'P 1'
loop_
_atom_site_label
_atom_site_type_symbol
_atom_site_fract_x
_atom_site_fract_y
_atom_site_fract_z
Ga1 Ga 0.426 0.426 0.248
Ga2 Ga 0.574 0.574 0.752
Au1 Au 0.582 0.582 0.582
Au2 Au 0.043 0.540 0.858
Au3 Au 0.460 0.957 0.142
Au4 Au 0.418 0.418 0.418
Au5 Au 0.500 0.500 0.000
Au6 Au 0.957 0.460 0.142
Au7 Au 0.540 0.043 0.858
Tl1 Tl 0.077 0.077 0.620
Tl2 Tl 0.923 0.923 0.380
Ag1 Ag 0.000 0.000 0.000
```



# 12
Material: Tl2Ga3AgAu12
Method: DFT, PBE
State: relaxed

Calculated values
Energy: -3.04 eV per atom
Total moment: 0.0000 μB per atom
ρ: 12.60 Mg/m³

```
data_Tl2Ga3AgAu12
_chemical_formula_sum 'Tl2 Ga3 Ag1 Au12'
_cell_length_a 8.016
_cell_length_b 8.016
_cell_length_c 8.016
_cell_angle_alpha 65.43
_cell_angle_beta 65.43
_cell_angle_gamma 65.43
_space_group_name_H-M_alt 'P 1'
_space_group_IT_number 1
_space_group_name_Hall 'P 1'
loop_
_atom_site_label
_atom_site_type_symbol
_atom_site_fract_x
_atom_site_fract_y
_atom_site_fract_z
Ag1 Ag 0.000 0.000 0.000
Au1 Au 0.632 0.632 0.105
Au2 Au 0.368 0.368 0.895
Au3 Au 0.632 0.105 0.632
Au4 Au 0.148 0.614 0.148
Au5 Au 0.386 0.852 0.852
Au6 Au 0.852 0.852 0.386
Au7 Au 0.148 0.148 0.614
Au8 Au 0.852 0.386 0.852
Au9 Au 0.895 0.368 0.368
Au10 Au 0.105 0.632 0.632
Au11 Au 0.614 0.148 0.148
Au12 Au 0.368 0.895 0.368
Tl1 Tl 0.606 0.606 0.606
Tl2 Tl 0.394 0.394 0.394
Ga1 Ga 0.500 0.000 0.000
Ga2 Ga 0.000 0.000 0.500
Ga3 Ga 0.000 0.500 0.000
```